DFT (PBE-GGA) results for a geometry-optimized HfZnPbO2 structure.

Structure (CIF):
```
data_HfZnPbO2
_chemical_formula_sum 'Hf1 Zn1 Pb1 O2'
_symmetry_space_group_name_H-M 'P 4/m m m'
_symmetry_Int_Tables_number 123
_symmetry_space_group_name_Hall '-P 4 2'
_cell_length_a 4.043
_cell_length_b 4.043
_cell_length_c 6.356
_cell_angle_alpha 90.00
_cell_angle_beta 90.00
_cell_angle_gamma 90.00
loop_
_atom_site_label
_atom_site_fract_x
_atom_site_fract_y
_atom_site_fract_z
Hf1 0.000 0.000 0.000
Zn1 0.500 0.500 0.500
Pb1 0.000 0.000 0.500
O1 0.000 0.500 0.000
```

The uncorrected formation energy comes out at -1.341 eV per atom. The magnetization comes out at 0.1 μB/cell. The density of states at the Fermi level is 0.70 states/eV/atom.